Record 1
The following is a DFT calculation (GGA-PBE) of a geometry-optimized Y2ThCu structure.

Cell lengths 3.541, 3.541, 8.463 Å; angles 90.00, 90.00, 90.00 degrees
Atoms (fractional coordinates):
Cu 0.500 0.500 0.000
Y 0.000 0.000 0.202
Y 0.000 0.000 0.798
Th 0.500 0.500 0.500

size of the total moment: 0.000 μB per atom
electronic total energy: -24.78 eV/cell
SG: P4/mmm, No. 123
E above lowest polymorph: 0 meV/atom
energy of formation: -0.34 eV/f.u.



Record 2
The following is a DFT calculation (GGA-PBE) of a geometry-optimized Nd3SnH structure.

Cell lengths 4.978, 4.978, 4.978 Å; angles 90.00, 90.00, 90.00 degrees
Atoms (fractional coordinates):
Nd 0.000 0.500 0.000
Nd 0.500 0.000 0.000
Nd 0.000 0.000 0.500
Sn 0.500 0.500 0.500
H 0.000 0.000 0.000

size of the total moment: 0.000 μB per atom
electronic total energy: -24.18 eV/cell
SG: Pm-3m, No. 221
E above lowest polymorph: 0 meV/atom